Material: BePtSe2
Method: DFT, meta-GGA SCAN
State: single point on PBEsol structure

Computed properties:
Energy relative to the elements, uncorrected in eV/atom: -0.408
DFT total energy in Ha/atom: -1.0688

POSCAR file:
```
BePtSe2
1.0
4.121 -1.751 0.000
4.121 1.751 0.000
-0.963 0.000 5.722
Be Pt Se
1 1 2
Cartesian
0.000 0.000 0.000 Be
2.228 0.000 0.126 Pt
4.194 0.000 4.446 Se
6.995 0.000 1.725 Se
```